No. 1
VASP calculation (PBEsol) on a relaxed AlZnCu2 crystal.

Cell: 4.5849 4.5849 4.5849 Å, 133.34 133.34 68.12°
Closest atoms and distances in Å follow each position.
Atoms (fractional coordinates):
Al 0.0000 0.0000 0.0000  8 Cu 2.57-2.63, 4 Zn 2.63
Zn 0.2500 0.7500 0.5000  8 Cu 2.57-2.63, 4 Al 2.63
Cu 0.5000 0.5000 0.0000  4 Al 2.57, 4 Cu 2.63, 4 Zn 2.63
Cu 0.7500 0.2500 0.5000  4 Zn 2.57, 4 Cu 2.63, 4 Al 2.63

Output
DOS at the Fermi energy = 1.03 states/eV/cell
Magnetic moment = 0.00 μB/f.u.
Electronic total energy = -3.734 eV/atom


No. 2
VASP calculation (PBEsol) on a relaxed SiRu2 crystal.

Cell: 7.5993 7.5993 7.5993 Å, 60.00 60.00 60.00°
Closest atoms and distances in Å follow each position.
Atoms (fractional coordinates):
Si 0.1603 0.7799 0.7799  6 Ru 2.37-2.41
Si 0.2201 0.2201 0.2201  6 Ru 2.37-2.41
Si 0.2201 0.2201 0.8397  6 Ru 2.37-2.41
Si 0.2201 0.8397 0.2201  6 Ru 2.37-2.41
Si 0.7799 0.1603 0.7799  6 Ru 2.37-2.41
Si 0.7799 0.7799 0.1603  6 Ru 2.37-2.41
Si 0.7799 0.7799 0.7799  6 Ru 2.37-2.41
Si 0.8397 0.2201 0.2201  6 Ru 2.37-2.41
Ru 0.0000 0.0000 0.0000  6 Si 2.41
Ru 0.0000 0.0000 0.5000  6 Si 2.41
Ru 0.0000 0.5000 0.0000  6 Si 2.41
Ru 0.1918 0.1918 0.5582  2 Si 2.37
Ru 0.1918 0.5582 0.1918  2 Si 2.37
Ru 0.1918 0.5582 0.5582  2 Si 2.37
Ru 0.4418 0.4418 0.8082  2 Si 2.37
Ru 0.4418 0.8082 0.4418  2 Si 2.37
Ru 0.4418 0.8082 0.8082  2 Si 2.37
Ru 0.5000 0.0000 0.0000  6 Si 2.41
Ru 0.5582 0.1918 0.1918  2 Si 2.37
Ru 0.5582 0.1918 0.5582  2 Si 2.37
Ru 0.5582 0.5582 0.1918  2 Si 2.37
Ru 0.8082 0.4418 0.4418  2 Si 2.37
Ru 0.8082 0.4418 0.8082  2 Si 2.37
Ru 0.8082 0.8082 0.4418  2 Si 2.37

Output
DOS at the Fermi energy = 15.53 states/eV/cell
Magnetic moment = 0.00 μB/f.u.
Formation energy (no corrections) = -8.7 kcal/mol of atoms


No. 3
VASP calculation (PBEsol) on a relaxed RbTa2ZnGa crystal.

Cell: 4.8601 4.8601 5.8646 Å, 90.00 90.00 90.00°
Closest atoms and distances in Å follow each position.
Atoms (fractional coordinates):
Rb 0.0000 0.0000 0.0000  2 Ga 2.93
Ta 0.0000 0.5000 0.5000  2 Ga 2.43
Ta 0.5000 0.0000 0.5000  2 Ga 2.43
Zn 0.5000 0.5000 0.0000  4 Rb 3.44, 8 Ta 3.81
Ga 0.0000 0.0000 0.5000  4 Ta 2.43

Output
DOS at the Fermi energy = 6.05 states/eV/cell
Magnetic moment = 2.67 μB/f.u.
Electronic total energy = -4.475 eV/atom


No. 4
VASP calculation (PBEsol) on a relaxed CuAg2Te crystal.

Cell: 4.7066 4.7066 4.7066 Å, 60.00 60.00 60.00°
Closest atoms and distances in Å follow each position.
Atoms (fractional coordinates):
Cu 0.0000 0.0000 0.0000  8 Ag 2.88
Ag 0.2500 0.2500 0.2500  4 Te 2.88, 4 Cu 2.88
Ag 0.7500 0.7500 0.7500  4 Te 2.88, 4 Cu 2.88
Te 0.5000 0.5000 0.5000  8 Ag 2.88

Output
Polymorph energy (0 for the lowest one) = 0.140 eV per atom
DOS at the Fermi energy = 2.21 states/eV/cell
Magnetic moment = 0.00 μB/f.u.
Formation energy (no corrections) = 6.6 kcal/mol of atoms


No. 5
VASP calculation (PBEsol) on a relaxed FeRuOF2 crystal.

Cell: 4.1936 4.1936 3.6715 Å, 90.00 90.00 90.00°
Closest atoms and distances in Å follow each position.
Atoms (fractional coordinates):
Fe 0.0000 0.0000 0.0000  8 F 2.79, 4 O 2.97
Ru 0.5000 0.5000 0.5000  2 O 1.84
O 0.5000 0.5000 0.0000  2 Ru 1.84
F 0.0000 0.5000 0.5000  2 Ru 2.10
F 0.5000 0.0000 0.5000  2 Ru 2.10

Output
DOS at the Fermi energy = 6.56 states/eV/cell
Magnetic moment = 3.22 μB/f.u.
Formation energy (no corrections) = -8.6 kcal/mol of atoms


No. 6
VASP calculation (PBEsol) on a relaxed LiTaNi4 crystal.

Cell: 4.6436 4.6436 4.6436 Å, 60.00 60.00 60.00°
Closest atoms and distances in Å follow each position.
Atoms (fractional coordinates):
Li 0.0000 0.0000 0.0000  12 Ni 2.72, 4 Ta 2.84
Ta 0.2500 0.2500 0.2500  12 Ni 2.72, 4 Li 2.84
Ni 0.1235 0.6255 0.6255  6 Ni 2.31-2.33
Ni 0.6255 0.1235 0.6255  6 Ni 2.31-2.33
Ni 0.6255 0.6255 0.1235  6 Ni 2.31-2.33
Ni 0.6255 0.6255 0.6255  6 Ni 2.31-2.33

Output
DOS at the Fermi energy = 3.53 states/eV/cell
Magnetic moment = 0.00 μB/f.u.
Electronic total energy = -6.711 eV/atom


What did the fourth record say?
VASP calculation (PBEsol) on a relaxed CuAg2Te crystal.

Cell: 4.7066 4.7066 4.7066 Å, 60.00 60.00 60.00°
Closest atoms and distances in Å follow each position.
Atoms (fractional coordinates):
Cu 0.0000 0.0000 0.0000  8 Ag 2.88
Ag 0.2500 0.2500 0.2500  4 Te 2.88, 4 Cu 2.88
Ag 0.7500 0.7500 0.7500  4 Te 2.88, 4 Cu 2.88
Te 0.5000 0.5000 0.5000  8 Ag 2.88

Output
Polymorph energy (0 for the lowest one) = 0.140 eV per atom
DOS at the Fermi energy = 2.21 states/eV/cell
Magnetic moment = 0.00 μB/f.u.
Formation energy (no corrections) = 6.6 kcal/mol of atoms


Question: Number 6 is which compound?
Answer: LiTaNi4